Record 1
Density functional theory data (PBE) for a relaxed VPtN2 crystal.

```
VPtN2
1.0
3.2375 0.3350 2.0000
-0.1270 0.2739 3.8082
1.2165 -2.9025 2.1654
N V Pt
2 1 1
Direct
0.7500 0.7500 0.7500 N
0.2500 0.2500 0.2500 N
0.0000 0.0000 0.0000 V
0.5000 0.5000 0.5000 Pt
```

Calculated values
SG: No. 225
Formation energy (no corrections): 0.842 eV/atom
Calculated total energy: -7.111 eV/atom
Total magnetization: 0.00 μB/f.u.
E above lowest polymorph: 1148 meV/atom


Record 2
Density functional theory data (PBE) for a relaxed La6TcPd2 crystal.

```
La6TcPd2
1.0
6.8681 0.0000 0.0838
0.0000 7.7089 0.0000
0.4859 0.0000 10.5484
Pd La Tc
4 12 2
Direct
0.9405 0.3860 0.2353 Pd
0.4405 0.1140 0.7353 Pd
0.5595 0.8860 0.2647 Pd
0.0595 0.6140 0.7647 Pd
0.1518 0.0437 0.2510 La
0.3305 0.8197 0.5660 La
0.8327 0.6826 0.4316 La
0.8482 0.9563 0.7490 La
0.6695 0.1803 0.4340 La
0.1673 0.3174 0.5684 La
0.6518 0.4563 0.7510 La
0.6673 0.1826 0.0684 La
0.8305 0.6803 0.0660 La
0.1695 0.3197 0.9340 La
0.3327 0.8174 0.9316 La
0.3482 0.5437 0.2490 La
0.5000 0.5000 0.0000 Tc
0.0000 0.0000 0.5000 Tc
```

Calculated values
SG: No. 14
Calculated total energy: -5.959 eV/atom
Total magnetization: 0.00 μB/f.u.
Energy of formation from the pure elements: -3.31 eV per formula unit